[1]
Density functional theory data (PBE-GGA) for a relaxed structure of NaCa4Pd.

abc: 6.9654 9.1247 9.2239
angles: 114.13 105.37 103.14
Last column: nearest neighbours and their distance in Å.
Fractional coordinates of all 12 atoms:
1 Ca 0.4648 0.7600 0.8885  2 Pd 2.81-2.89
2 Ca 0.5352 0.2400 0.1115  2 Pd 2.81-2.89
3 Ca 0.1995 0.3629 0.4187  1 Pd 2.80
4 Ca 0.0762 0.8715 0.1115  2 Pd 2.81-2.89
5 Ca 0.7192 0.0558 0.4187  1 Pd 2.80
6 Ca 0.8005 0.6371 0.5813  1 Pd 2.80
7 Ca 0.9238 0.1285 0.8885  2 Pd 2.81-2.89
8 Ca 0.2808 0.9442 0.5813  1 Pd 2.80
9 Na 0.3455 0.5955 0.1911  8 Ca 3.65-3.93
10 Na 0.6545 0.4045 0.8089  8 Ca 3.65-3.93
11 Pd 0.8268 0.0768 0.1537  6 Ca 2.80-2.89
12 Pd 0.1732 0.9232 0.8463  6 Ca 2.80-2.89

Magnetic moment (Bohr magnetons per cell): 0.0
Excess energy over the best structure of this formula in the dataset (meV/atom): 82.5
Calculated density (g/cm³): 2.02
Energy relative to the elements (eV/atom): -0.15
E_tot (Ha/atom): -0.09442


[2]
Density functional theory data (PBE-GGA) for a relaxed structure of Mg2Al.

abc: 3.0392 5.3627 8.1973
angles: 77.16 79.32 73.54
Last column: nearest neighbours and their distance in Å.
Fractional coordinates of all 6 atoms:
1 Mg 0.4967 0.7740 0.2326  5 Al 2.99-3.05, 7 Mg 3.04-3.24
2 Mg 0.8341 0.7415 0.5904  10 Mg 3.04-3.24, 2 Al 3.04
3 Mg 0.5033 0.2260 0.7674  5 Al 2.99-3.05, 7 Mg 3.04-3.24
4 Mg 0.1659 0.2585 0.4096  10 Mg 3.04-3.24, 2 Al 3.04
5 Al 0.1765 0.7276 0.9193  4 Al 2.90-3.04, 7 Mg 2.99-3.05
6 Al 0.8235 0.2724 0.0807  4 Al 2.90-3.04, 7 Mg 2.99-3.05

Magnetic moment (Bohr magnetons per cell): 0.0
Calculated density (g/cm³): 2.03
Energy relative to the elements (eV/atom): 0.01
E_tot (Ha/atom): -0.08452


[3]
Density functional theory data (PBE-GGA) for a relaxed structure of InO.

abc: 8.9201 8.9201 3.5893
angles: 90.00 90.00 90.00
Last column: nearest neighbours and their distance in Å.
Fractional coordinates of all 16 atoms:
1 O 0.1889 0.3308 0.5000  4 In 2.21-2.27
2 O 0.8111 0.6692 0.5000  4 In 2.21-2.27
3 O 0.6692 0.1889 0.5000  4 In 2.21-2.27
4 O 0.1328 0.6147 0.0000  3 In 2.10-2.23
5 O 0.8672 0.3853 0.0000  3 In 2.10-2.23
6 O 0.6147 0.8672 0.0000  3 In 2.10-2.23
7 O 0.3308 0.8111 0.5000  4 In 2.21-2.27
8 O 0.3853 0.1328 0.0000  3 In 2.10-2.23
9 In 0.2478 0.5711 0.5000  4 O 2.10-2.27
10 In 0.9312 0.7631 0.0000  3 O 2.23-2.25
11 In 0.7522 0.4289 0.5000  4 O 2.10-2.27
12 In 0.0688 0.2369 0.0000  3 O 2.23-2.25
13 In 0.4289 0.2478 0.5000  4 O 2.10-2.27
14 In 0.7631 0.0688 0.0000  3 O 2.23-2.25
15 In 0.2369 0.9312 0.0000  3 O 2.23-2.25
16 In 0.5711 0.7522 0.5000  4 O 2.10-2.27

Magnetic moment (Bohr magnetons per cell): 0.0
Calculated density (g/cm³): 6.09
E_tot (Ha/atom): -0.18074
Formation energy without anion corrections (eV/atom): -1.070


[4]
Density functional theory data (PBE-GGA) for a relaxed structure of Ba2CaNiAg.

abc: 5.9605 5.9605 5.4372
angles: 90.00 90.00 90.00
Last column: nearest neighbours and their distance in Å.
Fractional coordinates of all 5 atoms:
1 Ca 0.0000 0.0000 0.5000  2 Ni 2.72
2 Ni 0.0000 0.0000 0.0000  2 Ca 2.72, 4 Ba 2.98
3 Ag 0.5000 0.5000 0.5000  8 Ba 4.03, 4 Ca 4.21
4 Ba 0.5000 0.0000 0.0000  2 Ni 2.98
5 Ba 0.0000 0.5000 0.0000  2 Ni 2.98

Magnetic moment (Bohr magnetons per cell): 0.0
Calculated density (g/cm³): 4.14
Energy relative to the elements (eV/atom): 0.03
E_tot (Ha/atom): -0.10550


Look up the E_tot of the first one. -0.09442 Ha/atom